{"formula": "Zn3MoBr9", "functional": "PBE", "state": "relaxed", "lattice_angstrom": [[8.942, -4.659, 0.000], [8.942, 4.659, 0.000], [-8.077, 0.000, 10.281]], "species": ["Zn", "Zn", "Zn", "Zn", "Zn", "Zn", "Mo", "Mo", "Br", "Br", "Br", "Br", "Br", "Br", "Br", "Br", "Br", "Br", "Br", "Br", "Br", "Br", "Br", "Br", "Br", "Br"], "frac_coords": [[0.054, 0.946, 0.500], [0.280, 0.512, 0.594], [0.512, 0.280, 0.094], [0.562, 0.710, 0.447], [0.710, 0.562, 0.947], [0.946, 0.054, 0.000], [0.042, 0.491, 0.775], [0.491, 0.042, 0.275], [0.018, 0.732, 0.505], [0.048, 0.780, 0.830], [0.073, 0.178, 0.711], [0.166, 0.351, 0.590], [0.178, 0.073, 0.211], [0.250, 0.795, 0.379], [0.351, 0.166, 0.090], [0.357, 0.428, 0.938], [0.428, 0.357, 0.438], [0.444, 0.683, 0.787], [0.580, 0.961, 0.472], [0.611, 0.715, 0.136], [0.683, 0.444, 0.287], [0.715, 0.611, 0.636], [0.732, 0.018, 0.005], [0.780, 0.048, 0.330], [0.795, 0.250, 0.879], [0.961, 0.580, 0.972]], "crystal_system": "monoclinic", "raw_formation_energy_kj_per_mol_atoms": -65.70}